# 1
Below is crystalline Y2TaCrOs at its relaxed geometry, with properties calculated at the PBE level.

Summary:
V ... 27.57 Å³ per atom
Size of the total moment ... 0.10 μB/f.u.
Calculated formation energy ... 1.12 eV per atom

Cell: 5.358 5.358 4.802 Å, 90.00 90.00 90.00°
Space group P4/mmm (No. 123)
Symmetry-distinct sites (fractional):
1 Y 0.000 0.500 0.000
2 Ta 0.000 0.000 0.500
3 Cr 0.500 0.500 0.500
4 Os 0.000 0.000 0.000

---

# 2
Below is crystalline La2NdBi at its relaxed geometry, with properties calculated at the PBE level.

Summary:
V ... 34.21 Å³ per atom
Size of the total moment ... 0.00 μB/f.u.
Calculated formation energy ... -0.46 eV per atom
Relative energy among the computed polymorphs ... 0.676 kcal/mol of atoms

Cell: 4.741 4.715 12.469 Å, 90.00 100.96 90.00°
Space group P2_1/m (No. 11)
Symmetry-distinct sites (fractional):
1 La 0.044 0.250 0.120
2 La 0.424 0.250 0.864
3 Nd 0.303 0.750 0.608
4 Bi 0.173 0.750 0.341

---

# 3
Below is crystalline ScAlRh2 at its relaxed geometry, with properties calculated at the PBE level.

Summary:
V ... 15.91 Å³ per atom
Size of the total moment ... 0.00 μB/f.u.
Calculated formation energy ... -0.49 eV per atom

Cell: 6.338 6.338 6.338 Å, 90.00 90.00 90.00°
Space group F-43m (No. 216)
Symmetry-distinct sites (fractional):
1 Sc 0.000 0.000 0.000
2 Al 0.250 0.250 0.250
3 Rh 0.000 0.000 0.500
4 Rh 0.250 0.250 0.750

---

# 4
Below is crystalline AlZnPdPt at its relaxed geometry, with properties calculated at the PBE level.

Summary:
V ... 14.51 Å³ per atom
Size of the total moment ... 0.00 μB/f.u.
Calculated formation energy ... -0.77 eV per atom

Cell: 6.147 6.147 6.147 Å, 90.00 90.00 90.00°
Space group F-43m (No. 216)
Symmetry-distinct sites (fractional):
1 Al 0.000 0.000 0.000
2 Zn 0.000 0.000 0.500
3 Pd 0.250 0.250 0.750
4 Pt 0.250 0.250 0.250

---

# 5
Below is crystalline LiPm3Ho3Se8 at its relaxed geometry, with properties calculated at the PBE level.

Summary:
Energy relative to the elements, uncorrected ... -1.80 eV/atom
V ... 25.97 Å³ per atom
Size of the total moment ... 0.00 μB/f.u.

Cell: 8.1766 8.1766 20.1871 Å, 90.00 90.00 120.00°
Space group R-3m (No. 166, hexagonal axes)
Symmetry-distinct sites (fractional):
1 Li 0.0000 0.0000 0.0000
2 Pm 0.0000 0.5000 0.5000
3 Ho 0.0000 0.5000 0.0000
4 Se 0.0000 0.0000 0.2536
5 Se 0.9999 0.4999 0.2538

---

# 6
Below is crystalline CaAlZn2Au4 at its relaxed geometry, with properties calculated at the PBE level.

Summary:
V ... 18.74 Å³ per atom
Size of the total moment ... 0.00 μB/f.u.
Calculated formation energy ... -0.42 eV per atom

Cell: 4.5342 4.5342 25.2544 Å, 90.00 90.00 120.00°
Space group R-3m (No. 166, hexagonal axes)
Symmetry-distinct sites (fractional):
1 Ca 0.0000 0.0000 0.0000
2 Al 0.0000 0.0000 0.5000
3 Zn 0.0000 0.0000 0.2502
4 Au 0.0000 0.0000 0.1332
5 Au 0.0000 0.0000 0.3978

---

# 7
Below is crystalline NiSnSb2N at its relaxed geometry, with properties calculated at the PBE level.

Summary:
Energy relative to the elements, uncorrected ... 1.15 eV/atom
V ... 23.02 Å³ per atom
Size of the total moment ... 0.00 μB/f.u.

Cell: 4.868 4.868 4.859 Å, 90.00 90.00 90.00°
Space group P4/mmm (No. 123)
Symmetry-distinct sites (fractional):
1 Ni 0.000 0.000 0.000
2 Sn 0.000 0.000 0.500
3 Sb 0.000 0.500 0.000
4 N 0.500 0.500 0.500

---

# 8
Below is crystalline Na2CrRh2S6 at its relaxed geometry, with properties calculated at the PBE level.

Summary:
Energy relative to the elements, uncorrected ... -0.69 eV/atom
V ... 19.40 Å³ per atom
Size of the total moment ... 2.04 μB/f.u.

Cell: 6.126 10.649 6.865 Å, 90.00 107.62 90.00°
Space group C2/m (No. 12)
Symmetry-distinct sites (fractional):
1 Na 0.000 0.168 0.000
2 Cr 0.000 0.000 0.500
3 Rh 0.000 0.334 0.500
4 S 0.230 0.167 0.690
5 S 0.233 0.500 0.693

---

# 9
Below is crystalline SrCo3Br9 at its relaxed geometry, with properties calculated at the PBE level.

Summary:
Energy relative to the elements, uncorrected ... -0.67 eV/atom
V ... 36.85 Å³ per atom
Size of the total moment ... 10.00 μB/f.u.

Cell: 19.292 9.470 13.901 Å, 90.00 131.02 90.00°
Space group Cc (No. 9)
Symmetry-distinct sites (fractional):
1 Sr 0.000 0.228 0.000
2 Co 0.141 0.419 0.824
3 Co 0.262 0.096 0.786
4 Co 0.342 0.387 0.658
5 Br 0.022 0.316 0.805
6 Br 0.090 0.485 0.623
7 Br 0.119 0.046 0.585
8 Br 0.194 0.370 0.450
9 Br 0.269 0.266 0.922
10 Br 0.325 0.108 0.414
11 Br 0.334 0.422 0.258
12 Br 0.369 0.167 0.762
13 Br 0.468 0.417 0.667

---

# 10
Below is crystalline SrCaSi2 at its relaxed geometry, with properties calculated at the PBE level.

Summary:
Energy relative to the elements, uncorrected ... -0.49 eV/atom
V ... 25.78 Å³ per atom
Size of the total moment ... 0.00 μB/f.u.
Relative energy among the computed polymorphs ... 0.190 kcal/mol of atoms

Cell: 3.975 6.001 8.647 Å, 90.00 90.00 90.00°
Space group Pmc2_1 (No. 26)
Symmetry-distinct sites (fractional):
1 Sr 0.000 0.138 0.000
2 Ca 0.500 0.362 0.639
3 Si 0.000 0.370 0.357
4 Si 0.500 0.150 0.287

---

# 11
Below is crystalline NaLa2Hg6 at its relaxed geometry, with properties calculated at the PBE level.

Summary:
V ... 26.45 Å³ per atom
Size of the total moment ... 0.01 μB/f.u.
Calculated formation energy ... -0.38 eV per atom

Cell: 8.8617 8.8617 3.4999 Å, 90.00 90.00 120.00°
Space group P6/mmm (No. 191)
Symmetry-distinct sites (fractional):
1 Na 0.0000 0.0000 0.0000
2 La 0.3333 0.6667 0.0000
3 Hg 0.0000 0.3295 0.5000

---

# 12
Below is crystalline CrInI2N at its relaxed geometry, with properties calculated at the PBE level.

Summary:
Energy relative to the elements, uncorrected ... 0.84 eV/atom
V ... 29.87 Å³ per atom
Size of the total moment ... 5.86 μB/f.u.
Relative energy among the computed polymorphs ... 19.478 kcal/mol of atoms

Cell: 6.092 6.092 4.024 Å, 90.00 90.00 90.00°
Space group P4/mmm (No. 123)
Symmetry-distinct sites (fractional):
1 Cr 0.000 0.000 0.000
2 In 0.500 0.500 0.500
3 I 0.000 0.500 0.500
4 N 0.500 0.500 0.000

---

What is the V in the second record?
34.21 Å³ per atom